Entry from Alexandria: a relaxed structure of Sc2Br2N (PBE).

a b c (Å): 5.981 3.453 10.600
angles (deg): 90.00 102.16 90.00
Space group C2/m (No. 12)
Unique sites:
1 Sc 0.209 0.000 0.113 [4 per cell]
2 Br 0.058 0.000 0.709 [4 per cell]
3 N 0.000 0.500 0.000 [2 per cell]

Properties
E ... -6.569 eV per atom
Total magnetization ... 0.00 μB per formula unit
Formation energy (no corrections) ... -1.7025 eV/atom
Fermi-level density of states ... 3.039 states/eV/cell